# 1
Below is YTeCl2 after structural relaxation, with properties calculated at the PBE-GGA level.

Properties
VASP energy: -18.2 eV/cell
Density of states at the Fermi level: 0.38 states/eV per cell
Energy above the lowest structure with this stoichiometry: 0.390 eV per atom
Size of the total moment: 0.00 Bohr magnetons per cell
Formation energy from raw total energies: -1.217 eV/atom

Geometry as CIF:
```
data_YTeCl2
_chemical_formula_sum 'Y1 Te1 Cl2'
_cell_length_a 4.394
_cell_length_b 4.394
_cell_length_c 5.509
_cell_angle_alpha 90.00
_cell_angle_beta 90.00
_cell_angle_gamma 90.00
_space_group_name_H-M_alt 'P 4 m m'
_space_group_IT_number 99
loop_
_space_group_symop_operation_xyz
'x,y,z'
'-y,x,z'
'-x,-y,z'
'y,-x,z'
'-x,y,z'
'y,x,z'
'x,-y,z'
'-y,-x,z'
loop_
_atom_site_label
_atom_site_type_symbol
_atom_site_fract_x
_atom_site_fract_y
_atom_site_fract_z
Y1 Y 0.000 0.000 0.000
Te1 Te 0.500 0.500 0.834
Cl1 Cl 0.000 0.000 0.515
Cl2 Cl 0.500 0.500 0.331
```

---

# 2
Below is Ac2Tb6Th after structural relaxation, with properties calculated at the PBE-GGA level.

Properties
VASP energy: -85.5 eV/cell
Density of states at the Fermi level: 27.22 states/eV per cell
Size of the total moment: 0.00 Bohr magnetons per cell
Energy of formation from the pure elements: 0.08 eV/atom

Geometry as CIF:
```
data_Ac2Tb6Th
_chemical_formula_sum 'Ac4 Tb12 Th2'
_cell_length_a 17.298
_cell_length_b 9.977
_cell_length_c 3.602
_cell_angle_alpha 90.00
_cell_angle_beta 90.08
_cell_angle_gamma 90.00
_space_group_name_H-M_alt 'C 1 2/m 1'
_space_group_IT_number 12
loop_
_space_group_symop_operation_xyz
'x,y,z'
'-x,-y,-z'
'-x,y,-z'
'x,-y,z'
'x+1/2,y+1/2,z'
'-x+1/2,-y+1/2,-z'
'-x+1/2,y+1/2,-z'
'x+1/2,-y+1/2,z'
loop_
_atom_site_label
_atom_site_type_symbol
_atom_site_fract_x
_atom_site_fract_y
_atom_site_fract_z
Ac1 Ac 0.167 0.000 0.000
Tb1 Tb 0.000 0.173 0.500
Tb2 Tb 0.163 0.337 0.501
Th1 Th 0.000 0.500 0.000
```